The following is a PBE-GGA calculation of crystalline Nd3Tm4 at its relaxed geometry, from Alexandria.

Calculated values
energy	-4.573	eV/atom
energy relative to the lowest polymorph listed for this composition	0	meV/atom
M_tot	0.0000	μB/atom
calculated formation energy	0.18	eV per formula unit

Cell and atoms, written as extended XYZ:
```
7
Lattice="5.649 -2.525 0.000 5.649 2.525 0.000 -1.158 0.000 7.904" Properties=species:S:1:pos:R:3 pbc="T T T"
Nd 0.000 0.000 0.000
Nd 2.254 0.000 6.744
Nd 7.887 0.000 1.160
Tm 1.107 0.000 3.398
Tm 4.490 0.000 2.309
Tm 5.651 0.000 5.595
Tm 9.034 0.000 4.507
```